Entry 1:
Sb2TeAu after structural relaxation, computed with GGA-PBE.

Computed properties:
- energy relative to the elements, uncorrected (eV/atom) = -0.02

abc: 7.2498 7.2498 7.2498
angles: 34.39 34.39 34.39
Closest atoms and distances in Å follow each position.
Fractional coordinates of all 4 atoms:
Sb (0.0089, 0.0089, 0.0089)  3 Au 2.88, 3 Sb 3.07
Sb (0.2531, 0.2531, 0.2531)  3 Sb 3.07, 3 Te 3.16
Te (0.4902, 0.4902, 0.4902)  3 Au 2.92, 3 Sb 3.16
Au (0.7478, 0.7478, 0.7478)  3 Sb 2.88, 3 Te 2.92


Entry 2:
Ta4PtRh7 after structural relaxation, computed with GGA-PBE.

Computed properties:
- ΔE_f (eV/atom) = -0.075

abc: 4.7148 8.5024 5.8048
angles: 79.15 66.04 73.90
Closest atoms and distances in Å follow each position.
Fractional coordinates of all 12 atoms:
Ta (0.5881, 0.2260, 0.5978)  6 Rh 2.49-2.74
Ta (0.4119, 0.7740, 0.4022)  6 Rh 2.49-2.74
Ta (0.7432, 0.6696, 0.8440)  5 Rh 2.50-2.73
Ta (0.2568, 0.3304, 0.1560)  5 Rh 2.50-2.73
Pt (0.0000, 0.0000, 0.0000)  2 Rh 2.36
Rh (0.7889, 0.9075, 0.5148)  4 Ta 2.50-2.69, 4 Rh 2.74-2.80, 1 Pt 2.77
Rh (0.2111, 0.0925, 0.4852)  4 Ta 2.50-2.69, 4 Rh 2.74-2.80, 1 Pt 2.77
Rh (0.0727, 0.6623, 0.1924)  4 Rh 2.69-2.89, 5 Ta 2.73-2.99, 1 Pt 2.86
Rh (0.9273, 0.3377, 0.8076)  4 Rh 2.69-2.89, 5 Ta 2.73-2.99, 1 Pt 2.86
Rh (0.3610, 0.5406, 0.7374)  5 Ta 2.49-2.74, 2 Rh 2.66-2.69
Rh (0.5000, 0.0000, 0.0000)  2 Pt 2.36
Rh (0.6390, 0.4594, 0.2626)  5 Ta 2.49-2.74, 2 Rh 2.66-2.69